Record 1
{"formula": "ScAg2Ir", "functional": "PBE", "state": "optimized geometry", "cell": [[3.828, 0.000, 0.000], [0.000, 3.828, 0.000], [1.914, 1.914, 10.218]], "species": ["Ag", "Ag", "Ag", "Ir", "Ir", "Sc", "Sc", "Ag"], "fractional_positions": [[0.875, 0.884, 0.750], [0.116, 0.625, 0.250], [0.375, 0.366, 0.750], [0.000, 0.000, 0.000], [0.750, 0.250, 0.500], [0.250, 0.750, 0.500], [0.500, 0.500, 0.000], [0.634, 0.125, 0.250]], "formation_enthalpy_0k_ev_per_fu": -0.1, "dft_energy_ev_per_atom": -5.256}

---

Record 2
{"formula": "ScAgIr3", "functional": "PBE", "state": "optimized geometry", "cell": [[-1.804, -3.422, -2.795], [4.147, -2.353, 0.204], [-1.524, -2.352, 3.862]], "species": ["Ir", "Ir", "Ir", "Sc", "Ag"], "fractional_positions": [[0.000, 0.000, 0.500], [0.000, 0.500, 0.000], [0.500, 0.000, 0.000], [0.500, 0.500, 0.500], [0.000, 0.000, 0.000]], "formation_enthalpy_0k_ev_per_fu": 8.3, "dft_energy_ev_per_atom": -5.497}

---

Record 3
{"formula": "ScAgIr2", "functional": "PBE", "state": "optimized geometry", "cell": [[-3.283, 0.590, 2.084], [0.522, -3.457, 1.800], [3.582, 2.767, 8.571]], "species": ["Ir", "Sc", "Ag", "Ir", "Ir", "Ag", "Ir", "Sc"], "fractional_positions": [[0.651, 0.125, 0.250], [0.250, 0.750, 0.500], [0.750, 0.250, 0.500], [0.375, 0.349, 0.750], [0.875, 0.901, 0.750], [0.000, 0.000, 0.000], [0.099, 0.625, 0.250], [0.500, 0.500, 0.000]], "formation_enthalpy_0k_ev_per_fu": 0.6, "dft_energy_ev_per_atom": -6.575}

---

Record 4
{"formula": "ScAgIr2", "functional": "PBE", "state": "optimized geometry", "cell": [[-2.318, 4.822, 7.845], [-0.456, 2.992, 9.000], [0.476, 5.405, 7.793]], "species": ["Ir", "Ir", "Sc", "Ag"], "fractional_positions": [[0.252, 0.252, 0.252], [0.996, 0.996, 0.996], [0.504, 0.504, 0.504], [0.748, 0.748, 0.748]], "formation_enthalpy_0k_ev_per_fu": 0.4, "dft_energy_ev_per_atom": -6.617}

---

Record 5
{"formula": "ScAgIr2", "functional": "PBE", "state": "optimized geometry", "cell": [[4.945, 0.010, 0.000], [1.661, 4.658, 0.000], [-3.303, -2.334, 2.846]], "species": ["Sc", "Ir", "Ag", "Ir"], "fractional_positions": [[0.250, 0.750, 0.500], [0.000, 0.000, 0.000], [0.750, 0.250, 0.500], [0.500, 0.500, 0.000]], "formation_enthalpy_0k_ev_per_fu": -0.9, "dft_energy_ev_per_atom": -6.959}

---

Record 6
{"formula": "ScAgIr", "functional": "PBE", "state": "optimized geometry", "cell": [[4.411, 0.000, 0.000], [2.205, 3.820, 0.000], [2.205, 1.273, 3.601]], "species": ["Ir", "Sc", "Ag"], "fractional_positions": [[0.500, 0.500, 0.500], [0.750, 0.750, 0.750], [0.000, 0.000, 0.000]], "formation_enthalpy_0k_ev_per_fu": 0.2, "dft_energy_ev_per_atom": -5.940}

---

Record 7
{"formula": "ScAg2Ir", "functional": "PBE", "state": "optimized geometry", "cell": [[5.071, 0.000, 0.000], [0.000, 3.031, -0.015], [0.000, 0.295, 4.638]], "species": ["Ir", "Ag", "Ag", "Sc"], "fractional_positions": [[0.500, 0.250, 0.250], [0.000, 0.015, 0.005], [0.000, 0.485, 0.495], [0.500, 0.750, 0.750]], "formation_enthalpy_0k_ev_per_fu": -0.4, "dft_energy_ev_per_atom": -5.334}

---

Record 8
{"formula": "ScAgIr2", "functional": "PBE", "state": "optimized geometry", "cell": [[-8.983, -1.771, 0.242], [-8.004, -4.427, -0.485], [-8.088, -3.618, 2.322]], "species": ["Ir", "Sc", "Ag", "Ir"], "fractional_positions": [[0.505, 0.505, 0.505], [0.250, 0.250, 0.250], [0.750, 0.750, 0.750], [0.995, 0.995, 0.995]], "formation_enthalpy_0k_ev_per_fu": -0.5, "dft_energy_ev_per_atom": -6.845}

---

| no. | energy relative to the lowest polymorph listed for this composition (meV/atom) |
| --- | --- |
| 1 | 266.7 |
| 2 | 161.8 |
| 3 | 471.9 |
| 4 | 430.1 |
| 5 | 87.5 |
| 6 | 437.1 |
| 7 | 188.7 |
| 8 | 201.6 |